DFT (SCAN) results for a PBEsol-optimized structure of MnCdBr2.

Energy relative to the lowest polymorph listed for this composition (meV per atom): 420
N(E_F) (states/eV/cell): 4.5
Mass density (g/cm3): 6.107
Electronic total energy (eV/atom): -22.002
V (Å³/f.u.): 89

Cell lengths 7.122, 7.133, 3.502 Å; angles 90.00, 90.00, 90.00 degrees
Atoms (fractional coordinates):
Mn (0.000, 0.000, 0.000)
Mn (0.500, 0.500, 0.000)
Cd (0.000, 0.500, 0.000)
Cd (0.500, 0.000, 0.000)
Br (0.250, 0.250, 0.500)
Br (0.250, 0.750, 0.500)
Br (0.750, 0.250, 0.500)
Br (0.750, 0.750, 0.500)



DFT (SCAN) results for a PBEsol-optimized structure of Ni2MoPb.

N(E_F) (states/eV/cell): 7.9
Formation enthalpy at 0 K (eV per atom): 0.548
Mass density (g/cm3): 11.881
Electronic total energy (eV/atom): -35.205
V (Å³/f.u.): 59

Cell lengths 5.626, 7.179, 2.911 Å; angles 90.00, 90.00, 90.00 degrees
Atoms (fractional coordinates):
Ni (0.250, 0.250, 0.000)
Ni (0.250, 0.750, 0.000)
Ni (0.750, 0.250, 0.000)
Ni (0.750, 0.750, 0.000)
Mo (0.000, 0.000, 0.500)
Mo (0.500, 0.500, 0.500)
Pb (0.000, 0.500, 0.500)
Pb (0.500, 0.000, 0.500)



DFT (SCAN) results for a PBEsol-optimized structure of AlCoTe2.

N(E_F) (states/eV/cell): 3.2
Mass density (g/cm3): 7.055
Electronic total energy (eV/atom): -24.937
V (Å³/f.u.): 80

Cell lengths 4.379, 5.259, 6.974 Å; angles 90.00, 90.00, 90.00 degrees
Atoms (fractional coordinates):
Al (0.000, 0.000, 0.000)
Al (0.000, 0.500, 0.500)
Co (0.500, 0.000, 0.172)
Co (0.500, 0.500, 0.672)
Te (0.000, 0.000, 0.380)
Te (0.000, 0.500, 0.880)
Te (0.500, 0.000, 0.770)
Te (0.500, 0.500, 0.270)



DFT (SCAN) results for a PBEsol-optimized structure of CaInIr2.

N(E_F) (states/eV/cell): 3.8
Formation enthalpy at 0 K (eV per atom): 0.085
Mass density (g/cm3): 12.895
Electronic total energy (eV/atom): -46.227
V (Å³/f.u.): 69

Cell lengths 5.881, 9.072, 2.891 Å; angles 90.00, 115.76, 90.00 degrees
Atoms (fractional coordinates):
Ca (0.000, 0.000, 0.000)
Ca (0.500, 0.500, 0.000)
In (0.000, 0.500, 0.000)
In (0.500, 0.000, 0.000)
Ir (0.250, 0.250, 0.500)
Ir (0.250, 0.750, 0.500)
Ir (0.750, 0.250, 0.500)
Ir (0.750, 0.750, 0.500)



DFT (SCAN) results for a PBEsol-optimized structure of CaSi2Ni.

N(E_F) (states/eV/cell): 1.7
Mass density (g/cm3): 3.622
Electronic total energy (eV/atom): -11.697
V (Å³/f.u.): 71

Cell lengths 3.526, 3.556, 5.665 Å; angles 90.00, 90.00, 90.00 degrees
Atoms (fractional coordinates):
Ca (0.000, 0.000, 0.000)
Si (0.000, 0.500, 0.559)
Si (0.500, 0.500, 0.271)
Ni (0.500, 0.000, 0.519)



DFT (SCAN) results for a PBEsol-optimized structure of CdFeP2Cl.

N(E_F) (states/eV/cell): 3.7
Mass density (g/cm3): 3.727
Electronic total energy (eV/atom): -14.301
V (Å³/f.u.): 118

Cell lengths 4.858, 4.858, 5.015 Å; angles 90.00, 90.00, 90.00 degrees
Atoms (fractional coordinates):
Cd (0.000, 0.000, 0.000)
Fe (0.500, 0.500, 0.500)
P (0.000, 0.500, 0.000)
P (0.500, 0.000, 0.000)
Cl (0.000, 0.000, 0.500)



DFT (SCAN) results for a PBEsol-optimized structure of Ca2AlSi.

N(E_F) (states/eV/cell): 2.3
Mass density (g/cm3): 2.222
Electronic total energy (eV/atom): -9.719
V (Å³/f.u.): 101

Cell lengths 4.099, 4.435, 11.116 Å; angles 90.00, 90.00, 90.00 degrees
Atoms (fractional coordinates):
Ca (0.000, 0.000, 0.000)
Ca (0.000, 0.500, 0.500)
Ca (0.500, 0.000, 0.285)
Ca (0.500, 0.500, 0.785)
Al (0.500, 0.000, 0.581)
Al (0.500, 0.500, 0.081)
Si (0.000, 0.000, 0.714)
Si (0.000, 0.500, 0.214)



DFT (SCAN) results for a PBEsol-optimized structure of Zn2CoRe.

Energy relative to the lowest polymorph listed for this composition (meV per atom): 123
N(E_F) (states/eV/cell): 2.1
Formation enthalpy at 0 K (eV per atom): 0.184
Mass density (g/cm3): 12.082
Electronic total energy (eV/atom): -28.674
V (Å³/f.u.): 52

Cell lengths 2.574, 2.574, 7.798 Å; angles 90.00, 90.00, 90.00 degrees
Atoms (fractional coordinates):
Zn (0.000, 0.000, 0.229)
Zn (0.000, 0.000, 0.771)
Co (0.500, 0.500, 0.000)
Re (0.500, 0.500, 0.500)



DFT (SCAN) results for a PBEsol-optimized structure of HgBiSe2.

N(E_F) (states/eV/cell): 4.2
Mass density (g/cm3): 10.215
Electronic total energy (eV/atom): -46.620
V (Å³/f.u.): 92

Cell lengths 7.173, 7.173, 7.173 Å; angles 90.00, 90.00, 90.00 degrees
Atoms (fractional coordinates):
Hg (0.000, 0.000, 0.000)
Hg (0.000, 0.500, 0.500)
Hg (0.500, 0.000, 0.500)
Hg (0.500, 0.500, 0.000)
Bi (0.000, 0.000, 0.500)
Bi (0.000, 0.500, 0.000)
Bi (0.500, 0.000, 0.000)
Bi (0.500, 0.500, 0.500)
Se (0.250, 0.250, 0.250)
Se (0.250, 0.250, 0.750)
Se (0.250, 0.750, 0.250)
Se (0.250, 0.750, 0.750)
Se (0.750, 0.250, 0.250)
Se (0.750, 0.250, 0.750)
Se (0.750, 0.750, 0.250)
Se (0.750, 0.750, 0.750)



DFT (SCAN) results for a PBEsol-optimized structure of MgPW2.

Energy relative to the lowest polymorph listed for this composition (meV per atom): 166
N(E_F) (states/eV/cell): 2.5
Formation enthalpy at 0 K (eV per atom): 0.456
Mass density (g/cm3): 11.741
Electronic total energy (eV/atom): -38.232
V (Å³/f.u.): 60

Cell lengths 3.260, 4.234, 4.333 Å; angles 90.00, 90.00, 90.00 degrees
Atoms (fractional coordinates):
Mg (0.000, 0.000, 0.000)
P (0.500, 0.000, 0.500)
W (0.000, 0.500, 0.500)
W (0.500, 0.500, 0.000)



DFT (SCAN) results for a PBEsol-optimized structure of Sc2BeMo.

N(E_F) (states/eV/cell): 2.7
Formation enthalpy at 0 K (eV per atom): 0.184
Mass density (g/cm3): 4.909
Electronic total energy (eV/atom): -16.744
V (Å³/f.u.): 66

Cell lengths 3.974, 3.974, 8.348 Å; angles 90.00, 90.00, 90.00 degrees
Atoms (fractional coordinates):
Sc (0.000, 0.000, 0.000)
Sc (0.000, 0.500, 0.250)
Sc (0.500, 0.000, 0.750)
Sc (0.500, 0.500, 0.500)
Be (0.000, 0.000, 0.500)
Be (0.500, 0.500, 0.000)
Mo (0.000, 0.500, 0.750)
Mo (0.500, 0.000, 0.250)



DFT (SCAN) results for a PBEsol-optimized structure of AlZnSi.

N(E_F) (states/eV/cell): 5.2
Mass density (g/cm3): 3.821
Electronic total energy (eV/atom): -10.228
V (Å³/f.u.): 52

Cell lengths 5.938, 5.938, 5.938 Å; angles 90.00, 90.00, 90.00 degrees
Atoms (fractional coordinates):
Al (0.000, 0.000, 0.000)
Al (0.000, 0.500, 0.500)
Al (0.500, 0.000, 0.500)
Al (0.500, 0.500, 0.000)
Zn (0.000, 0.000, 0.500)
Zn (0.000, 0.500, 0.000)
Zn (0.500, 0.000, 0.000)
Zn (0.500, 0.500, 0.500)
Si (0.250, 0.250, 0.750)
Si (0.250, 0.750, 0.250)
Si (0.750, 0.250, 0.250)
Si (0.750, 0.750, 0.750)